K2MgAs after structural relaxation, computed with PBE.

Results
- Space group: No. 10
- Energy relative to the elements: 39 meV/atom

```
K2MgAs
1.0
5.093 0.000 0.000
0.000 3.308 -0.032
0.000 3.275 7.603
K Mg As
2 1 1
Cartesian
0.000 3.285 7.310
0.000 3.281 4.079
2.546 1.646 1.893
2.546 4.937 5.678
```

=====

K2MgAs after structural relaxation, computed with PBE.

Results
- Space group: No. 8
- Energy relative to the elements: -393 meV/atom

```
K2MgAs
1.0
-4.497 -0.300 -0.268
-1.929 -3.822 -1.436
-2.406 -4.483 8.225
K As Mg
2 1 1
Cartesian
-6.441 -4.406 -0.878
-6.616 -6.172 4.061
-2.239 -2.539 2.732
-4.380 -3.912 2.162
```

=====

KNa2MgAs after structural relaxation, computed with PBE.

Results
- Space group: No. 123
- Energy relative to the elements: -163 meV/atom

```
KNa2MgAs
1.0
5.805 0.000 0.000
0.000 5.805 0.000
0.000 0.000 5.292
K As Mg Na
1 1 1 2
Cartesian
2.902 2.902 2.646
0.000 0.000 0.000
0.000 0.000 2.646
0.000 2.902 0.000
2.902 0.000 0.000
```

=====

K2NaMgAs2 after structural relaxation, computed with PBE.

Results
- Space group: No. 72
- Energy relative to the elements: -477 meV/atom

```
K2NaMgAs2
1.0
-6.333 2.522 -0.614
-2.267 -6.037 -1.414
3.036 0.443 8.656
Mg K As Na
2 4 4 2
Cartesian
-3.733 -0.249 -0.660
-4.867 -3.267 -1.367
0.845 -1.512 5.101
-6.409 -1.561 1.528
-3.612 -3.207 4.072
-1.952 0.134 2.557
-3.173 -2.574 0.663
-4.804 1.546 1.102
-2.391 -0.499 5.966
-0.760 -4.619 5.527
-1.700 -4.528 -1.060
-0.567 -1.509 -0.353
```

=====

K2MgNiAs2 after structural relaxation, computed with PBE.

Results
- Space group: No. 72
- Energy relative to the elements: -413 meV/atom

```
K2MgNiAs2
1.0
-4.057 -0.252 4.688
-1.252 -5.926 -1.402
8.443 0.711 3.238
As K Mg Ni
4 4 2 2
Cartesian
-1.937 -0.578 4.174
-0.809 -3.433 1.446
3.943 -2.035 5.078
5.071 -4.889 2.350
-1.678 -3.974 4.509
4.812 -1.493 2.015
0.992 -0.884 2.849
2.142 -4.584 3.675
-0.939 -4.445 -1.052
-0.313 -1.482 -0.351
-2.968 -4.571 1.292
-2.342 -1.608 1.994
```

=====

KMg2NiAs after structural relaxation, computed with PBE.

Results
- Space group: No. 123
- Energy relative to the elements: 1649 meV/atom

```
KMg2NiAs
1.0
-0.040 -4.951 -2.534
1.620 -2.361 4.588
-5.306 -0.725 1.500
As Ni Mg K
1 1 2 1
Cartesian
0.810 -1.181 2.294
-1.863 -4.019 1.777
-0.020 -2.475 -1.267
-2.653 -0.363 0.750
0.000 0.000 0.000
```